# PBE-GGA Tm2ScGe3Pt4, optimized geometry
# V in Å³ per cell: 190
# E_form in eV/atom: -0.96
# E_tot in eV/atom: -6.286
data_Tm2ScGe3Pt4
_chemical_formula_sum 'Tm2 Sc1 Ge3 Pt4'
_cell_length_a 4.079
_cell_length_b 4.079
_cell_length_c 11.402
_cell_angle_alpha 90.00
_cell_angle_beta 90.00
_cell_angle_gamma 90.00
_symmetry_space_group_name_H-M 'P -4 m 2'
_symmetry_Int_Tables_number 115
loop_
_symmetry_equiv_pos_as_xyz
'x,y,z'
'y,-x,-z'
'-x,-y,z'
'-y,x,-z'
'-x,y,z'
'-y,-x,-z'
'x,-y,z'
'y,x,-z'
loop_
_atom_site_label
_atom_site_type_symbol
_atom_site_fract_x
_atom_site_fract_y
_atom_site_fract_z
_atom_site_occupancy
Tm1 Tm 0.000 0.500 0.230 1
Sc1 Sc 0.000 0.000 0.500 1
Ge1 Ge 0.000 0.500 0.865 1
Ge2 Ge 0.500 0.500 0.500 1
Pt1 Pt 0.000 0.000 0.000 1
Pt2 Pt 0.000 0.500 0.652 1
Pt3 Pt 0.500 0.500 0.000 1

# PBE-GGA YScGePt, optimized geometry
# V in Å³ per cell: 329
# E_form in eV/atom: -0.91
# E_tot in eV/atom: -6.777
data_YScGePt
_chemical_formula_sum 'Y4 Sc4 Ge4 Pt4'
_cell_length_a 6.903
_cell_length_b 6.903
_cell_length_c 6.903
_cell_angle_alpha 90.00
_cell_angle_beta 90.00
_cell_angle_gamma 90.00
_symmetry_space_group_name_H-M 'F -4 3 m'
_symmetry_Int_Tables_number 216
_symmetry_space_group_name_Hall 'F -4 2 3'
loop_
_atom_site_label
_atom_site_type_symbol
_atom_site_fract_x
_atom_site_fract_y
_atom_site_fract_z
_atom_site_occupancy
Y1 Y 0.000 0.000 0.000 1
Sc1 Sc 0.000 0.000 0.500 1
Ge1 Ge 0.250 0.250 0.250 1
Pt1 Pt 0.250 0.250 0.750 1

# PBE-GGA Y2ScGe3Pt4, optimized geometry
# V in Å³ per cell: 193
# E_form in eV/atom: -0.98
# E_tot in eV/atom: -6.710
data_Y2ScGe3Pt4
_chemical_formula_sum 'Y2 Sc1 Ge3 Pt4'
_cell_length_a 4.128
_cell_length_b 4.128
_cell_length_c 11.314
_cell_angle_alpha 90.00
_cell_angle_beta 90.00
_cell_angle_gamma 90.00
_symmetry_space_group_name_H-M 'P -4 m 2'
_symmetry_Int_Tables_number 115
loop_
_symmetry_equiv_pos_as_xyz
'x,y,z'
'y,-x,-z'
'-x,-y,z'
'-y,x,-z'
'-x,y,z'
'-y,-x,-z'
'x,-y,z'
'y,x,-z'
loop_
_atom_site_label
_atom_site_type_symbol
_atom_site_fract_x
_atom_site_fract_y
_atom_site_fract_z
_atom_site_occupancy
Y1 Y 0.000 0.500 0.229 1
Sc1 Sc 0.000 0.000 0.500 1
Ge1 Ge 0.000 0.500 0.866 1
Ge2 Ge 0.500 0.500 0.500 1
Pt1 Pt 0.000 0.000 0.000 1
Pt2 Pt 0.000 0.500 0.650 1
Pt3 Pt 0.500 0.500 0.000 1

# PBE-GGA GePtSe, optimized geometry
# V in Å³ per cell: 127
# Raw formation energy in kJ/mol of formula units: -74
# E_tot in eV/atom: -4.970
data_GePtSe
_chemical_formula_sum 'Ge2 Pt2 Se2'
_cell_length_a 3.826
_cell_length_b 4.808
_cell_length_c 7.129
_cell_angle_alpha 90.00
_cell_angle_beta 103.62
_cell_angle_gamma 90.05
_symmetry_space_group_name_H-M 'P 1'
_symmetry_Int_Tables_number 1
loop_
_symmetry_equiv_pos_as_xyz
'x,y,z'
loop_
_atom_site_label
_atom_site_type_symbol
_atom_site_fract_x
_atom_site_fract_y
_atom_site_fract_z
_atom_site_occupancy
Ge1 Ge 0.000 0.000 0.000 1
Ge2 Ge 0.000 0.415 0.500 1
Pt1 Pt 0.410 0.196 0.792 1
Pt2 Pt 0.410 0.220 0.292 1
Se1 Se 0.442 0.848 0.537 1
Se2 Se 0.445 0.568 0.037 1